(1)
A geometry-optimized CeZnPt2 structure, computed with PBE.

```
data_CeZnPt2
_chemical_formula_sum 'Ce1 Zn1 Pt2'
_cell_length_a 3.375
_cell_length_b 3.375
_cell_length_c 6.535
_cell_angle_alpha 90.00
_cell_angle_beta 90.00
_cell_angle_gamma 90.00
_symmetry_space_group_name_H-M 'P 1'
_symmetry_Int_Tables_number 1
loop_
_symmetry_equiv_pos_as_xyz
'x,y,z'
loop_
_atom_site_label
_atom_site_type_symbol
_atom_site_fract_x
_atom_site_fract_y
_atom_site_fract_z
_atom_site_occupancy
Ce1 Ce 0.000 0.000 0.000 1
Zn1 Zn 0.000 0.000 0.500 1
Pt1 Pt 0.500 0.500 0.285 1
Pt2 Pt 0.500 0.500 0.715 1
```

Computed properties:
Symmetry: P4/mmm (123)
Crystal system: tetragonal

(2)
A geometry-optimized Ce2ZnPt7 structure, computed with PBE.

```
data_Ce2ZnPt7
_chemical_formula_sum 'Ce2 Zn1 Pt7'
_cell_length_a 3.889
_cell_length_b 3.889
_cell_length_c 12.760
_cell_angle_alpha 90.00
_cell_angle_beta 90.00
_cell_angle_gamma 90.00
_symmetry_space_group_name_H-M 'P 1'
_symmetry_Int_Tables_number 1
loop_
_symmetry_equiv_pos_as_xyz
'x,y,z'
loop_
_atom_site_label
_atom_site_type_symbol
_atom_site_fract_x
_atom_site_fract_y
_atom_site_fract_z
_atom_site_occupancy
Ce1 Ce 0.000 0.500 0.238 1
Ce2 Ce 0.500 0.000 0.762 1
Zn1 Zn 0.000 0.000 0.500 1
Pt1 Pt 0.000 0.000 0.000 1
Pt2 Pt 0.000 0.500 0.646 1
Pt3 Pt 0.000 0.500 0.849 1
Pt4 Pt 0.500 0.000 0.151 1
Pt5 Pt 0.500 0.000 0.354 1
Pt6 Pt 0.500 0.500 0.000 1
Pt7 Pt 0.500 0.500 0.500 1
```

Computed properties:
Symmetry: P-4m2 (115)
Crystal system: tetragonal

(3)
A geometry-optimized Ce3Zn7Pt2 structure, computed with PBE.

```
data_Ce3Zn7Pt2
_chemical_formula_sum 'Ce3 Zn7 Pt2'
_cell_length_a 9.475
_cell_length_b 9.475
_cell_length_c 9.475
_cell_angle_alpha 33.09
_cell_angle_beta 33.09
_cell_angle_gamma 33.09
_symmetry_space_group_name_H-M 'P 1'
_symmetry_Int_Tables_number 1
loop_
_symmetry_equiv_pos_as_xyz
'x,y,z'
loop_
_atom_site_label
_atom_site_type_symbol
_atom_site_fract_x
_atom_site_fract_y
_atom_site_fract_z
_atom_site_occupancy
Ce1 Ce 0.000 0.000 0.000 1
Ce2 Ce 0.153 0.153 0.153 1
Ce3 Ce 0.847 0.847 0.847 1
Zn1 Zn 0.080 0.581 0.581 1
Zn2 Zn 0.419 0.419 0.920 1
Zn3 Zn 0.419 0.920 0.419 1
Zn4 Zn 0.500 0.500 0.500 1
Zn5 Zn 0.581 0.080 0.581 1
Zn6 Zn 0.581 0.581 0.080 1
Zn7 Zn 0.920 0.419 0.419 1
Pt1 Pt 0.334 0.334 0.334 1
Pt2 Pt 0.666 0.666 0.666 1
```

Computed properties:
Symmetry: R-3m (166)
Crystal system: trigonal

(4)
A geometry-optimized Ce8ZnPt2 structure, computed with PBE.

```
data_Ce8ZnPt2
_chemical_formula_sum 'Ce8 Zn1 Pt2'
_cell_length_a 6.514
_cell_length_b 6.514
_cell_length_c 7.281
_cell_angle_alpha 106.17
_cell_angle_beta 106.17
_cell_angle_gamma 89.52
_symmetry_space_group_name_H-M 'P 1'
_symmetry_Int_Tables_number 1
loop_
_symmetry_equiv_pos_as_xyz
'x,y,z'
loop_
_atom_site_label
_atom_site_type_symbol
_atom_site_fract_x
_atom_site_fract_y
_atom_site_fract_z
_atom_site_occupancy
Ce1 Ce 0.139 0.720 0.713 1
Ce2 Ce 0.144 0.144 0.750 1
Ce3 Ce 0.245 0.245 0.164 1
Ce4 Ce 0.280 0.861 0.287 1
Ce5 Ce 0.720 0.139 0.713 1
Ce6 Ce 0.755 0.755 0.836 1
Ce7 Ce 0.856 0.856 0.250 1
Ce8 Ce 0.861 0.280 0.287 1
Zn1 Zn 0.500 0.500 0.000 1
Pt1 Pt 0.387 0.387 0.587 1
Pt2 Pt 0.613 0.613 0.413 1
```

Computed properties:
Symmetry: C2/m (12)
Crystal system: monoclinic

(5)
A geometry-optimized Ce2ZnPt6 structure, computed with PBE.

```
data_Ce2ZnPt6
_chemical_formula_sum 'Ce2 Zn1 Pt6'
_cell_length_a 5.675
_cell_length_b 5.675
_cell_length_c 6.036
_cell_angle_alpha 90.00
_cell_angle_beta 90.00
_cell_angle_gamma 120.00
_symmetry_space_group_name_H-M 'P 1'
_symmetry_Int_Tables_number 1
loop_
_symmetry_equiv_pos_as_xyz
'x,y,z'
loop_
_atom_site_label
_atom_site_type_symbol
_atom_site_fract_x
_atom_site_fract_y
_atom_site_fract_z
_atom_site_occupancy
Ce1 Ce 0.333 0.667 0.171 1
Ce2 Ce 0.667 0.333 0.829 1
Zn1 Zn 0.000 0.000 0.000 1
Pt1 Pt 0.173 0.345 0.687 1
Pt2 Pt 0.173 0.827 0.687 1
Pt3 Pt 0.345 0.173 0.313 1
Pt4 Pt 0.655 0.827 0.687 1
Pt5 Pt 0.827 0.173 0.313 1
Pt6 Pt 0.827 0.655 0.313 1
```

Computed properties:
Symmetry: P-3m1 (164)
Crystal system: trigonal

(6)
A geometry-optimized CeZn2Pt4 structure, computed with PBE.

```
data_CeZn2Pt4
_chemical_formula_sum 'Ce1 Zn2 Pt4'
_cell_length_a 5.454
_cell_length_b 5.454
_cell_length_c 5.454
_cell_angle_alpha 104.10
_cell_angle_beta 104.10
_cell_angle_gamma 120.84
_symmetry_space_group_name_H-M 'P 1'
_symmetry_Int_Tables_number 1
loop_
_symmetry_equiv_pos_as_xyz
'x,y,z'
loop_
_atom_site_label
_atom_site_type_symbol
_atom_site_fract_x
_atom_site_fract_y
_atom_site_fract_z
_atom_site_occupancy
Ce1 Ce 0.000 0.000 0.000 1
Zn1 Zn 0.250 0.750 0.500 1
Zn2 Zn 0.750 0.250 0.500 1
Pt1 Pt 0.294 0.294 0.588 1
Pt2 Pt 0.294 0.706 0.000 1
Pt3 Pt 0.706 0.294 0.000 1
Pt4 Pt 0.706 0.706 0.412 1
```

Computed properties:
Symmetry: I4/mmm (139)
Crystal system: tetragonal

(7)
A geometry-optimized CeZn3Pt2 structure, computed with PBE.

```
data_CeZn3Pt2
_chemical_formula_sum 'Ce2 Zn6 Pt4'
_cell_length_a 8.165
_cell_length_b 8.165
_cell_length_c 7.874
_cell_angle_alpha 117.89
_cell_angle_beta 117.89
_cell_angle_gamma 29.18
_symmetry_space_group_name_H-M 'P 1'
_symmetry_Int_Tables_number 1
loop_
_symmetry_equiv_pos_as_xyz
'x,y,z'
loop_
_atom_site_label
_atom_site_type_symbol
_atom_site_fract_x
_atom_site_fract_y
_atom_site_fract_z
_atom_site_occupancy
Ce1 Ce 0.142 0.142 0.048 1
Ce2 Ce 0.858 0.858 0.952 1
Zn1 Zn 0.046 0.046 0.395 1
Zn2 Zn 0.311 0.311 0.532 1
Zn3 Zn 0.399 0.399 0.319 1
Zn4 Zn 0.601 0.601 0.681 1
Zn5 Zn 0.689 0.689 0.468 1
Zn6 Zn 0.954 0.954 0.605 1
Pt1 Pt 0.213 0.213 0.719 1
Pt2 Pt 0.486 0.486 0.821 1
Pt3 Pt 0.514 0.514 0.179 1
Pt4 Pt 0.787 0.787 0.281 1
```

Computed properties:
Symmetry: C2/m (12)
Crystal system: monoclinic

(8)
A geometry-optimized Ce2Zn15Pt2 structure, computed with PBE.

```
data_Ce2Zn15Pt2
_chemical_formula_sum 'Ce2 Zn15 Pt2'
_cell_length_a 6.833
_cell_length_b 6.833
_cell_length_c 6.833
_cell_angle_alpha 82.88
_cell_angle_beta 82.88
_cell_angle_gamma 82.88
_symmetry_space_group_name_H-M 'P 1'
_symmetry_Int_Tables_number 1
loop_
_symmetry_equiv_pos_as_xyz
'x,y,z'
loop_
_atom_site_label
_atom_site_type_symbol
_atom_site_fract_x
_atom_site_fract_y
_atom_site_fract_z
_atom_site_occupancy
Ce1 Ce 0.162 0.162 0.162 1
Ce2 Ce 0.838 0.838 0.838 1
Zn1 Zn 0.000 0.500 0.500 1
Zn2 Zn 0.148 0.148 0.658 1
Zn3 Zn 0.148 0.658 0.148 1
Zn4 Zn 0.215 0.500 0.785 1
Zn5 Zn 0.215 0.785 0.500 1
Zn6 Zn 0.342 0.852 0.852 1
Zn7 Zn 0.500 0.000 0.500 1
Zn8 Zn 0.500 0.215 0.785 1
Zn9 Zn 0.500 0.500 0.000 1
Zn10 Zn 0.500 0.785 0.215 1
Zn11 Zn 0.658 0.148 0.148 1
Zn12 Zn 0.785 0.215 0.500 1
Zn13 Zn 0.785 0.500 0.215 1
Zn14 Zn 0.852 0.342 0.852 1
Zn15 Zn 0.852 0.852 0.342 1
Pt1 Pt 0.385 0.385 0.385 1
Pt2 Pt 0.615 0.615 0.615 1
```

Computed properties:
Symmetry: R-3m (166)
Crystal system: trigonal

(9)
A geometry-optimized Ce4ZnPt2 structure, computed with PBE.

```
data_Ce4ZnPt2
_chemical_formula_sum 'Ce4 Zn1 Pt2'
_cell_length_a 10.337
_cell_length_b 10.337
_cell_length_c 10.337
_cell_angle_alpha 25.97
_cell_angle_beta 25.97
_cell_angle_gamma 25.97
_symmetry_space_group_name_H-M 'P 1'
_symmetry_Int_Tables_number 1
loop_
_symmetry_equiv_pos_as_xyz
'x,y,z'
loop_
_atom_site_label
_atom_site_type_symbol
_atom_site_fract_x
_atom_site_fract_y
_atom_site_fract_z
_atom_site_occupancy
Ce1 Ce 0.117 0.117 0.117 1
Ce2 Ce 0.302 0.302 0.302 1
Ce3 Ce 0.698 0.698 0.698 1
Ce4 Ce 0.883 0.883 0.883 1
Zn1 Zn 0.500 0.500 0.500 1
Pt1 Pt 0.407 0.407 0.407 1
Pt2 Pt 0.593 0.593 0.593 1
```

Computed properties:
Symmetry: R-3m (166)
Crystal system: trigonal

(10)
A geometry-optimized CeZn2Pt2 structure, computed with PBE.

```
data_CeZn2Pt2
_chemical_formula_sum 'Ce1 Zn2 Pt2'
_cell_length_a 4.997
_cell_length_b 4.997
_cell_length_c 4.654
_cell_angle_alpha 117.16
_cell_angle_beta 117.16
_cell_angle_gamma 79.95
_symmetry_space_group_name_H-M 'P 1'
_symmetry_Int_Tables_number 1
loop_
_symmetry_equiv_pos_as_xyz
'x,y,z'
loop_
_atom_site_label
_atom_site_type_symbol
_atom_site_fract_x
_atom_site_fract_y
_atom_site_fract_z
_atom_site_occupancy
Ce1 Ce 0.000 0.000 0.000 1
Zn1 Zn 0.308 0.692 0.500 1
Zn2 Zn 0.692 0.308 0.500 1
Pt1 Pt 0.288 0.288 0.783 1
Pt2 Pt 0.712 0.712 0.217 1
```

Computed properties:
Symmetry: C2/m (12)
Offset from the most stable computed form in meV per atom: 73
Crystal system: monoclinic

(11)
A geometry-optimized CeZnPt2 structure, computed with PBE.

```
data_CeZnPt2
_chemical_formula_sum 'Ce1 Zn1 Pt2'
_cell_length_a 4.632
_cell_length_b 4.632
_cell_length_c 3.536
_cell_angle_alpha 90.00
_cell_angle_beta 90.00
_cell_angle_gamma 90.00
_symmetry_space_group_name_H-M 'P 1'
_symmetry_Int_Tables_number 1
loop_
_symmetry_equiv_pos_as_xyz
'x,y,z'
loop_
_atom_site_label
_atom_site_type_symbol
_atom_site_fract_x
_atom_site_fract_y
_atom_site_fract_z
_atom_site_occupancy
Ce1 Ce 0.000 0.000 0.000 1
Zn1 Zn 0.500 0.500 0.000 1
Pt1 Pt 0.000 0.500 0.500 1
Pt2 Pt 0.500 0.000 0.500 1
```

Computed properties:
Symmetry: P4/mmm (123)
Crystal system: tetragonal

| no. | calculated total energy (eV per atom) | DFT formation energy (kJ/mol of formula units) |
| --- | --- | --- |
| 1 | -5.593 | -297 |
| 2 | -6.252 | -684 |
| 3 | -3.682 | -519 |
| 4 | -5.815 | -303 |
| 5 | -6.381 | -776 |
| 6 | -5.381 | -485 |
| 7 | -4.268 | -364 |
| 8 | -2.599 | -610 |
| 9 | -5.823 | -354 |
| 10 | -4.806 | -335 |
| 11 | -5.500 | -261 |